Compound: Nd2InNiI2
Source: OQMD via LeMat-Bulk
Functional: PBE
Structure: optimized geometry

a b c (Å): 4.4176 4.4176 12.2738
angles (deg): 90.00 90.00 120.00
Closest atoms and distances in Å follow each position.
Fractional coordinates of all 6 atoms:
Nd: 0.0000 0.0000 0.0000  3 Ni 3.20, 3 In 3.25, 3 I 3.30
Nd: 0.0000 0.0000 0.3246  3 In 3.22, 3 Ni 3.28, 3 I 3.29
In: 0.6667 0.3333 0.1645  3 Ni 2.55
Ni: 0.3333 0.6667 0.1570  3 In 2.55
I: 0.3333 0.6667 0.4933  3 Nd 3.29
I: 0.6667 0.3333 0.8288  3 Nd 3.30

Output
Calculated volume   207.4 Å³ per cell
Total energy   -4.350 eV/atom
Total magnetic moment   0.23 μB/f.u.
Space group   P3m1



Compound: Lu4GeB3
Source: OQMD via LeMat-Bulk
Functional: PBE
Structure: optimized geometry

a b c (Å): 3.4683 3.4683 28.9386
angles (deg): 90.00 90.00 120.00
Closest atoms and distances in Å follow each position.
Fractional coordinates of all 16 atoms:
Lu: 0.0000 0.0000 0.1701  3 B 2.52
Lu: 0.0000 0.0000 0.3299  3 B 2.52
Lu: 0.0000 0.0000 0.6701  3 B 2.52
Lu: 0.0000 0.0000 0.8299  3 B 2.52
Lu: 0.3333 0.6667 0.0576  6 B 2.61-2.64
Lu: 0.3333 0.6667 0.4424  6 B 2.61-2.64
Lu: 0.6667 0.3333 0.5576  6 B 2.61-2.64
Lu: 0.6667 0.3333 0.9424  6 B 2.61-2.64
Ge: 0.3333 0.6667 0.2500  6 Lu 3.06
Ge: 0.6667 0.3333 0.7500  6 Lu 3.06
B: 0.0000 0.0000 0.0000  6 Lu 2.61
B: 0.0000 0.0000 0.5000  6 Lu 2.61
B: 0.3333 0.6667 0.6171  6 Lu 2.52-2.64
B: 0.3333 0.6667 0.8829  6 Lu 2.52-2.64
B: 0.6667 0.3333 0.1171  6 Lu 2.52-2.64
B: 0.6667 0.3333 0.3829  6 Lu 2.52-2.64

Output
Calculated volume   301.5 Å³ per cell
Total energy   -5.348 eV/atom
Total magnetic moment   0.01 μB/f.u.
Space group   P6_3/mmc



Compound: HoTm2Mg3TlGa2
Source: OQMD via LeMat-Bulk
Functional: PBE
Structure: optimized geometry

a b c (Å): 4.5210 7.2809 7.2809
angles (deg): 120.15 90.00 90.00
Closest atoms and distances in Å follow each position.
Fractional coordinates of all 9 atoms:
Ho: 0.0000 0.0000 0.0000  4 Ga 3.13, 1 Tl 3.20, 2 Mg 3.20
Tm: 0.0000 0.1241 0.5620  4 Ga 3.11-3.12, 1 Tl 3.18, 2 Mg 3.20
Tm: 0.0000 0.5620 0.1241  4 Ga 3.11-3.12, 1 Tl 3.18, 2 Mg 3.20
Mg: 0.5000 0.3112 0.3112  2 Ga 2.78, 2 Tl 2.89
Mg: 0.5000 0.5617 0.8122  2 Ga 2.77-2.78, 2 Tl 2.91
Mg: 0.5000 0.8122 0.5617  2 Ga 2.77-2.78, 2 Tl 2.91
Tl: 0.0000 0.5601 0.5601  6 Mg 2.89-2.91, 2 Tm 3.18, 1 Ho 3.20
Ga: 0.5000 0.2293 0.8946  3 Mg 2.77-2.78
Ga: 0.5000 0.8946 0.2293  3 Mg 2.77-2.78

Output
Calculated volume   207.2 Å³ per cell
Total energy   -3.373 eV/atom
Total magnetic moment   0.00 μB/f.u.
Space group   Amm2



Compound: Hf3ZrBi2P2
Source: OQMD via LeMat-Bulk
Functional: PBE
Structure: optimized geometry

a b c (Å): 3.8458 3.8458 13.5087
angles (deg): 90.00 90.00 120.00
Closest atoms and distances in Å follow each position.
Fractional coordinates of all 8 atoms:
Hf: 0.0000 0.0000 0.0000  3 P 2.57
Hf: 0.0000 0.0000 0.3040  3 P 2.58
Hf: 0.6667 0.3333 0.4977  3 P 2.58
Zr: 0.6667 0.3333 0.8038  3 P 2.60
Bi: 0.0000 0.0000 0.6495  3 Hf 3.02, 3 Zr 3.05
Bi: 0.6667 0.3333 0.1518  6 Hf 3.02-3.03
P: 0.3333 0.6667 0.4010  6 Hf 2.58
P: 0.3333 0.6667 0.9037  3 Hf 2.57, 3 Zr 2.60

Output
Calculated volume   173.0 Å³ per cell
Total energy   -8.020 eV/atom
Total magnetic moment   0.01 μB/f.u.
Space group   P3m1